An optimized crystal structure of CrPt2Se, computed with PBE-GGA.

The structure in extended XYZ format:
```
4
Lattice="3.829 0.000 0.000 0.000 4.594 0.000 -0.082 0.000 3.841" Properties=species:S:1:pos:R:3 pbc="T T T"
Cr 0.000 0.000 0.000
Pt 0.853 2.297 2.923
Pt 2.895 2.297 0.918
Se 1.874 0.000 1.920
```

Values from the calculation:
Space-group type: No. 10
Crystal system: monoclinic
Formation energy (no corrections), eV per atom: -0.04
VASP energy, eV/atom: -6.341